A geometry-optimized Cs3TlCr2F9 structure. Source: Alexandria, functional GGA+U.

Results
As for the total magnetic moment: 7.00 μB/cell. For the total energy, the calculation gives -75.63 eV per cell.

Unit cell a=6.3507 b=6.3507 c=8.0573 alpha=90.00 beta=90.00 gamma=120.00
Last column: nearest neighbours and their distance in Å.
Space group P-3m1 (No. 164)
Inequivalent atoms, fractional coordinates:
Cs 0.0000 0.0000 0.0000 (multiplicity 1)  12 F 3.09-3.18
Cs 0.3333 0.6667 0.6622 (multiplicity 2)  12 F 3.21-3.43
Tl 0.0000 0.0000 0.5000 (multiplicity 1)  6 F 2.68
Cr 0.3333 0.6667 0.1414 (multiplicity 2)  6 F 1.99-2.16
F 0.0000 0.5000 0.0000 (multiplicity 3)  2 Cr 2.16
F 0.1867 0.3735 0.2864 (multiplicity 6)  1 Cr 1.99